A plane-wave DFT calculation with PBEsol was carried out for an optimized crystal structure of Sc2RhF.

POSCAR file:
```
Sc2RhF
1.0
4.4844 0.0000 0.0000
2.2422 3.8836 0.0000
2.2422 1.2945 3.6615
Sc Rh F
2 1 1
Direct
0.2500 0.2500 0.2500
0.7500 0.7500 0.7500
0.5000 0.5000 0.5000
0.0000 0.0000 0.0000
```

Summary:
Its uncorrected formation energy is -1.16 eV per atom.

A plane-wave DFT calculation with PBEsol was carried out for an optimized crystal structure of SrRhSeF2.

POSCAR file:
```
SrRhSeF2
1.0
-1.4184 0.5779 4.2096
-1.9279 -4.1654 -0.0777
3.9043 -1.8363 1.5677
Sr Rh Se F
1 1 1 2
Direct
0.5000 0.5000 0.5000
0.5000 0.0000 0.0000
0.0000 0.0000 0.0000
0.0000 0.0000 0.5000
0.0000 0.5000 0.0000
```

Summary:
Its uncorrected formation energy is -1.23 eV per atom.

A plane-wave DFT calculation with PBEsol was carried out for an optimized crystal structure of ZrRhSeF2.

POSCAR file:
```
ZrRhSeF2
1.0
4.1941 0.0000 0.0000
0.0000 4.1941 0.0000
0.0000 0.0000 4.6842
Rh Se Zr F
1 1 1 2
Direct
0.0000 0.0000 0.5000
0.0000 0.0000 0.0000
0.5000 0.5000 0.5000
0.0000 0.5000 0.0000
0.5000 0.0000 0.0000
```

Summary:
Its uncorrected formation energy is -0.41 eV per atom.

A plane-wave DFT calculation with PBEsol was carried out for an optimized crystal structure of SiRh2F.

POSCAR file:
```
SiRh2F
1.0
4.0612 0.0000 0.0000
2.0306 3.5171 0.0000
2.0306 1.1724 3.3160
Si Rh F
1 2 1
Direct
0.5000 0.5000 0.5000
0.2500 0.2500 0.2500
0.7500 0.7500 0.7500
0.0000 0.0000 0.0000
```

Summary:
Its uncorrected formation energy is -0.62 eV per atom.

A plane-wave DFT calculation with PBEsol was carried out for an optimized crystal structure of Sr2RhF7.

POSCAR file:
```
Sr2RhF7
1.0
5.4856 0.0135 0.0000
-0.1143 8.6808 0.0000
0.0000 0.0000 11.5449
Sr Rh F
8 4 28
Direct
0.7750 0.8484 0.4402
0.2250 0.6516 0.9402
0.2250 0.1516 0.5598
0.7750 0.3484 0.0598
0.2334 0.5496 0.2951
0.7666 0.9504 0.7951
0.7666 0.4504 0.7049
0.2334 0.0496 0.2049
0.6883 0.8166 0.1335
0.3117 0.6834 0.6335
0.3117 0.1834 0.8665
0.6883 0.3166 0.3665
0.8924 0.9904 0.6062
0.1076 0.5096 0.1062
0.1076 0.0096 0.3938
0.8924 0.4904 0.8938
0.8718 0.3234 0.5140
0.1282 0.1766 0.0140
0.1282 0.6766 0.4860
0.8718 0.8234 0.9860
0.6125 0.6296 0.5516
0.3875 0.8704 0.0516
0.3875 0.3704 0.4484
0.6125 0.1296 0.9484
0.4186 0.8976 0.6009
0.5814 0.6024 0.1009
0.5814 0.1024 0.3991
0.4186 0.3976 0.8991
0.2345 0.9656 0.8336
0.7655 0.5344 0.3336
0.7655 0.0344 0.1664
0.2345 0.4656 0.6664
0.4837 0.8077 0.2768
0.5163 0.6923 0.7768
0.5163 0.1923 0.7232
0.4837 0.3077 0.2232
0.9868 0.2819 0.2706
0.0132 0.2181 0.7706
0.0132 0.7181 0.7294
0.9868 0.7819 0.2294
```

Summary:
Its uncorrected formation energy is -3.00 eV per atom.

A plane-wave DFT calculation with PBEsol was carried out for an optimized crystal structure of SrZnRh2F.

POSCAR file:
```
SrZnRh2F
1.0
4.5999 0.0000 0.0000
0.0000 4.5999 0.0000
0.0000 0.0000 4.6336
Sr Zn Rh F
1 1 2 1
Direct
0.5000 0.5000 0.5000
0.0000 0.0000 0.0000
0.0000 0.5000 0.0000
0.5000 0.0000 0.0000
0.0000 0.0000 0.5000
```

Summary:
Its uncorrected formation energy is -0.03 eV per atom.

A plane-wave DFT calculation with PBEsol was carried out for an optimized crystal structure of TaRh2F2.

POSCAR file:
```
TaRh2F2
1.0
3.2650 0.0000 0.0000
0.0000 3.2650 0.0000
-1.6325 -1.6325 5.9419
F Rh Ta
2 2 1
Direct
0.2500 0.7500 0.5000
0.7500 0.2500 0.5000
0.3862 0.3862 0.7723
0.6138 0.6138 0.2277
0.0000 0.0000 0.0000
```

Summary:
Its uncorrected formation energy is -0.72 eV per atom.

A plane-wave DFT calculation with PBEsol was carried out for an optimized crystal structure of TcRhF3.

POSCAR file:
```
TcRhF3
1.0
4.1466 0.0000 0.0000
0.0000 4.1466 0.0000
0.0000 0.0000 4.1466
Rh Tc F
1 1 3
Direct
0.0000 0.0000 0.0000
0.5000 0.5000 0.5000
0.0000 0.5000 0.0000
0.0000 0.0000 0.5000
0.5000 0.0000 0.0000
```

Summary:
Its uncorrected formation energy is -0.08 eV per atom.

A plane-wave DFT calculation with PBEsol was carried out for an optimized crystal structure of TeRh3F.

POSCAR file:
```
TeRh3F
1.0
-2.5368 3.3432 0.7706
-3.1146 -2.6460 1.2263
1.4387 0.1666 4.0135
Te Rh F
1 3 1
Direct
0.5000 0.5000 0.5000
0.0000 0.5000 0.0000
0.0000 0.0000 0.5000
0.5000 0.0000 0.0000
0.0000 0.0000 0.0000
```

Summary:
Its uncorrected formation energy is 0.56 eV per atom.

A plane-wave DFT calculation with PBEsol was carried out for an optimized crystal structure of TeRhF3.

POSCAR file:
```
TeRhF3
1.0
4.1985 0.0000 0.0000
0.0000 4.1985 0.0000
0.0000 0.0000 4.1985
Te Rh F
1 1 3
Direct
0.5000 0.5000 0.5000
0.0000 0.0000 0.0000
0.0000 0.5000 0.0000
0.0000 0.0000 0.5000
0.5000 0.0000 0.0000
```

Summary:
Its uncorrected formation energy is -0.58 eV per atom.

A plane-wave DFT calculation with PBEsol was carried out for an optimized crystal structure of Tl3RhF.

POSCAR file:
```
Tl3RhF
1.0
-3.0611 -1.6529 3.3647
3.5881 -0.0338 3.2478
-1.0857 4.5487 1.2468
Tl Rh F
3 1 1
Direct
0.0000 0.5000 0.0000
0.0000 0.0000 0.5000
0.5000 0.0000 0.0000
0.5000 0.5000 0.5000
0.0000 0.0000 0.0000
```

Summary:
Its uncorrected formation energy is 0.02 eV per atom.

A plane-wave DFT calculation with PBEsol was carried out for an optimized crystal structure of RhWF3.

POSCAR file:
```
RhWF3
1.0
4.1568 0.0000 0.0000
0.0000 4.1568 0.0000
0.0000 0.0000 4.1568
Rh W F
1 1 3
Direct
0.0000 0.0000 0.0000
0.5000 0.5000 0.5000
0.0000 0.5000 0.0000
0.0000 0.0000 0.5000
0.5000 0.0000 0.0000
```

Summary:
Its uncorrected formation energy is 0.37 eV per atom.